No. 1
# CaBe13

A PBEsol-optimized structure of CaBe13 (SCAN, Alexandria).

For the total DFT energy (no corrections), the calculation gives -4.8223 eV per atom. Its formation energy is -0.089 eV/atom. The total magnetization is 0.00 μB/atom.

The space group is Fm-3c (No. 226) and the conventional cell measures 10.2000, 10.2000 and 10.2000 Å, with angles of 90.00, 90.00 and 90.00 degrees. The inequivalent atoms are Ca at (0.2500, 0.2500, 0.2500), Be at (0.0000, 0.0000, 0.0000) and Be at (0.0000, 0.1120, 0.1767).

***

No. 2
# Ca3Be

A PBEsol-optimized structure of Ca3Be (SCAN, Alexandria).

For the total DFT energy (no corrections), the calculation gives -7.9338 eV per atom. Its formation energy is 0.402 eV/atom. For the energy above the most stable polymorph in this dataset, the calculation gives 179 meV/atom. The total magnetization is 0.04 μB/atom.

The space group is P4mm (No. 99) and the conventional cell measures 4.9375, 4.9375 and 4.8830 Å, with angles of 90.00, 90.00 and 90.00 degrees. The inequivalent atoms are Ca at (0.0000, 0.0000, 0.0000), Ca at (0.0000, 0.5000, 0.4991) and Be at (0.5000, 0.5000, 0.0065).